The following is a DFT calculation (PBE-GGA) of PmNdSm6 after structural relaxation.

## Properties
calculated formation energy: 152 meV per atom

a = 9.058 Å, b = 9.418 Å, c = 6.621 Å
α = 90.00°, β = 98.06°, γ = 90.00°
Space group C2/m (No. 12)
Asymmetric unit:
Pm (0.000, 0.000, 0.000) (multiplicity 2)
Nd (0.000, 0.000, 0.500) (multiplicity 2)
Sm (0.153, 0.500, 0.693) (multiplicity 4)
Sm (0.165, 0.320, 0.209) (multiplicity 8)

The following is a DFT calculation (PBE-GGA) of Nd3Zn3Cu2 after structural relaxation.

## Properties
calculated formation energy: -276 meV per atom

a = 4.540 Å, b = 10.161 Å, c = 15.070 Å
α = 90.00°, β = 90.00°, γ = 90.00°
Space group Cmcm (No. 63)
Asymmetric unit:
Nd (0.000, 0.098, 0.105) (multiplicity 8)
Nd (0.000, 0.390, 0.250) (multiplicity 4)
Zn (0.000, 0.314, 0.750) (multiplicity 4)
Zn (0.000, 0.383, 0.040) (multiplicity 8)
Cu (0.000, 0.199, 0.598) (multiplicity 8)

The following is a DFT calculation (PBE-GGA) of NaU2SiO8 after structural relaxation.

## Properties
uncorrected formation energy: -2745 meV per atom

a = 6.541 Å, b = 6.742 Å, c = 6.843 Å
α = 90.00°, β = 90.00°, γ = 90.00°
Space group Cmmm (No. 65)
Asymmetric unit:
Na (0.000, 0.000, 0.000) (multiplicity 2)
U (0.000, 0.500, 0.256) (multiplicity 4)
Si (0.000, 0.000, 0.500) (multiplicity 2)
O (0.000, 0.279, 0.500) (multiplicity 4)
O (0.000, 0.320, 0.000) (multiplicity 4)
O (0.190, 0.000, 0.307) (multiplicity 8)

The following is a DFT calculation (PBE-GGA) of SrUIr after structural relaxation.

## Properties
calculated formation energy: -166 meV per atom

a = 4.888 Å, b = 4.888 Å, c = 7.281 Å
α = 90.00°, β = 90.00°, γ = 90.00°
Space group P4/nmm (No. 129, origin choice 2)
Asymmetric unit:
Sr (0.250, 0.250, 0.125) (multiplicity 2)
U (0.250, 0.750, 0.500) (multiplicity 2)
Ir (0.250, 0.250, 0.672) (multiplicity 2)

The following is a DFT calculation (PBE-GGA) of SrTl2Re after structural relaxation.

## Properties
calculated formation energy: 766 meV per atom

a = 3.4210 Å, b = 3.4210 Å, c = 29.4548 Å
α = 90.00°, β = 90.00°, γ = 120.00°
Space group R-3m (No. 166, hexagonal axes)
Asymmetric unit:
Sr (0.0000, 0.0000, 0.0000) (multiplicity 3)
Tl (0.0000, 0.0000, 0.2393) (multiplicity 6)
Re (0.0000, 0.0000, 0.5000) (multiplicity 3)

The following is a DFT calculation (PBE-GGA) of HoH8Rh2 after structural relaxation.

## Properties
E_tot: -4.358 eV per atom

a = 4.375 Å, b = 4.375 Å, c = 4.710 Å
α = 90.00°, β = 90.00°, γ = 90.00°
Space group P4/mmm (No. 123)
Asymmetric unit:
Ho (0.000, 0.000, 0.000) (multiplicity 1)
H (0.281, 0.281, 0.302) (multiplicity 8)
Rh (0.000, 0.500, 0.500) (multiplicity 2)

The following is a DFT calculation (PBE-GGA) of HPd2Rh after structural relaxation.

## Properties
E_tot: -5.040 eV per atom

a = 2.7355 Å, b = 2.7355 Å, c = 23.1672 Å
α = 90.00°, β = 90.00°, γ = 120.00°
Space group R-3m (No. 166, hexagonal axes)
Asymmetric unit:
H (0.0000, 0.0000, 0.0000) (multiplicity 3)
Pd (0.0000, 0.0000, 0.3872) (multiplicity 6)
Rh (0.0000, 0.0000, 0.5000) (multiplicity 3)

The following is a DFT calculation (PBE-GGA) of K2ZnSn3Au4 after structural relaxation.

## Properties
calculated formation energy: -297 meV per atom

a = 4.890 Å, b = 4.890 Å, c = 10.846 Å
α = 90.00°, β = 90.00°, γ = 90.00°
Space group P-4m2 (No. 115)
Asymmetric unit:
K (0.000, 0.500, 0.250) (multiplicity 2)
Zn (0.000, 0.000, 0.500) (multiplicity 1)
Sn (0.000, 0.500, 0.874) (multiplicity 2)
Sn (0.500, 0.500, 0.500) (multiplicity 1)
Au (0.000, 0.000, 0.000) (multiplicity 1)
Au (0.000, 0.500, 0.617) (multiplicity 2)
Au (0.500, 0.500, 0.000) (multiplicity 1)

The following is a DFT calculation (PBE-GGA) of LaZrCl after structural relaxation.

## Properties
uncorrected formation energy: -718 meV per atom

a = 9.987 Å, b = 5.650 Å, c = 6.256 Å
α = 90.00°, β = 115.65°, γ = 90.00°
Space group C2/m (No. 12)
Asymmetric unit:
La (0.090, 0.000, 0.316) (multiplicity 4)
Zr (0.189, 0.500, 0.993) (multiplicity 4)
Cl (0.089, 0.500, 0.328) (multiplicity 4)

The following is a DFT calculation (PBE-GGA) of Pr2Zn16Ru after structural relaxation.

## Properties
calculated formation energy: -236 meV per atom

a = 9.0708 Å, b = 9.0708 Å, c = 13.2592 Å
α = 90.00°, β = 90.00°, γ = 120.00°
Space group R3m (No. 160, hexagonal axes)
Asymmetric unit:
Pr (0.0000, 0.0000, 0.0000) (multiplicity 3)
Pr (0.0000, 0.0000, 0.3306) (multiplicity 3)
Zn (0.0000, 0.0000, 0.5706) (multiplicity 3)
Zn (0.0002, 0.2840, 0.6729) (multiplicity 18)
Zn (0.9998, 0.4999, 0.5198) (multiplicity 9)
Zn (0.0089, 0.5044, 0.8216) (multiplicity 9)
Zn (0.1714, 0.3428, 0.5054) (multiplicity 9)
Ru (0.0000, 0.0000, 0.7682) (multiplicity 3)

The following is a DFT calculation (PBE-GGA) of La3Tb4Dy5 after structural relaxation.

## Properties
calculated formation energy: 24 meV per atom

a = 6.236 Å, b = 7.193 Å, c = 8.835 Å
α = 89.83°, β = 89.79°, γ = 89.86°
Space group P-1 (No. 2)
Asymmetric unit:
La (0.000, 0.000, 0.000) (multiplicity 1)
La (0.166, 0.251, 0.333) (multiplicity 2)
Tb (0.170, 0.749, 0.333) (multiplicity 2)
Tb (0.333, 0.499, 0.668) (multiplicity 2)
Dy (0.000, 0.500, 0.000) (multiplicity 1)
Dy (0.336, 0.000, 0.668) (multiplicity 2)
Dy (0.498, 0.748, 0.000) (multiplicity 2)

The following is a DFT calculation (PBE-GGA) of TiAg2Ir after structural relaxation.

## Properties
calculated formation energy: 522 meV per atom

a = 7.475 Å, b = 7.475 Å, c = 5.177 Å
α = 90.00°, β = 90.00°, γ = 90.00°
Space group I-42d (No. 122)
Asymmetric unit:
Ti (0.000, 0.000, 0.000) (multiplicity 4)
Ag (0.246, 0.250, 0.625) (multiplicity 8)
Ir (0.000, 0.000, 0.500) (multiplicity 4)